5
Lattice="4.640 0.000 0.000 0.000 4.640 0.000 0.000 0.000 5.435" Properties=species:S:1:pos:R:3 comment="PBE-GGA ScZn2SbS, relaxed" de_polymorph_ev_per_atom=0.000 magmom_total_mub_per_cell=0.00 e_form_raw_ev_per_atom=0.207 spacegroup="No. 123" total_energy_ev_per_atom=-3.22 pbc="T T T"
Sc 0.000 0.000 0.000
Zn 0.000 2.320 2.717
Zn 2.320 0.000 2.717
Sb 2.320 2.320 0.000
S 2.320 2.320 2.717

---

5
Lattice="5.239 0.000 0.000 0.000 5.239 0.000 0.000 0.000 5.490" Properties=species:S:1:pos:R:3 comment="PBE-GGA ScZn2SbS, relaxed" de_polymorph_ev_per_atom=0.507 magmom_total_mub_per_cell=0.00 e_form_raw_ev_per_atom=0.714 spacegroup="No. 123" total_energy_ev_per_atom=-2.71 pbc="T T T"
Sc 0.000 0.000 0.000
Zn 0.000 2.620 0.000
Zn 2.620 0.000 0.000
Sb 0.000 0.000 2.745
S 2.620 2.620 2.745